First-principles (PBEsol) data for crystalline ZnRhSe2 at its relaxed geometry, as listed in the Alexandria database.

- DOS at the Fermi energy: 0.338 states/eV/atom
- Uncorrected energy: -18.19 eV per cell

Structure (CIF):
```
data_ZnRhSe2
_chemical_formula_sum 'Zn1 Rh1 Se2'
_cell_length_a 4.6344
_cell_length_b 3.6499
_cell_length_c 5.0731
_cell_angle_alpha 90.00
_cell_angle_beta 117.13
_cell_angle_gamma 90.00
_space_group_name_H-M_alt 'P 1 2/m 1'
_space_group_IT_number 10
loop_
_space_group_symop_operation_xyz
'x,y,z'
'-x,-y,-z'
'-x,y,-z'
'x,-y,z'
loop_
_atom_site_label
_atom_site_fract_x
_atom_site_fract_y
_atom_site_fract_z
Zn1 0.0000 0.0000 0.0000
Rh1 0.0000 0.0000 0.5000
Se1 0.3886 0.5000 0.6812
```